1.
Entry from Alexandria via LeMat-Bulk: a geometry-optimized Pu2Si6RuRh structure (GGA-PBE).

a b c (Å): 12.7792 12.7792 12.7792
angles (deg): 26.35 26.35 26.35
Closest atoms and distances in Å follow each position.
Element x y z (fractional)
1 Pu 0.1259 0.1259 0.1259  12 Si 2.93-3.21
2 Pu 0.2788 0.2788 0.2788  9 Si 2.93-3.06
3 Pu 0.7212 0.7212 0.7212  9 Si 2.93-3.06
4 Pu 0.8741 0.8741 0.8741  12 Si 2.93-3.21
5 Si 0.0652 0.6605 0.6605  2 Si 2.36, 1 Rh 2.45, 1 Ru 2.46
6 Si 0.1920 0.1920 0.7770  1 Ru 2.38, 2 Si 2.42, 1 Rh 2.43
7 Si 0.1920 0.7770 0.1920  1 Ru 2.38, 2 Si 2.42, 1 Rh 2.43
8 Si 0.2230 0.8080 0.8080  1 Ru 2.38, 2 Si 2.42, 1 Rh 2.43
9 Si 0.3395 0.3395 0.9348  2 Si 2.36, 1 Rh 2.45, 1 Ru 2.46
10 Si 0.3395 0.9348 0.3395  2 Si 2.36, 1 Rh 2.45, 1 Ru 2.46
11 Si 0.6605 0.0652 0.6605  2 Si 2.36, 1 Rh 2.45, 1 Ru 2.46
12 Si 0.6605 0.6605 0.0652  2 Si 2.36, 1 Rh 2.45, 1 Ru 2.46
13 Si 0.7770 0.1920 0.1920  1 Ru 2.38, 2 Si 2.42, 1 Rh 2.43
14 Si 0.8080 0.2230 0.8080  1 Ru 2.38, 2 Si 2.42, 1 Rh 2.43
15 Si 0.8080 0.8080 0.2230  1 Ru 2.38, 2 Si 2.42, 1 Rh 2.43
16 Si 0.9348 0.3395 0.3395  2 Si 2.36, 1 Rh 2.45, 1 Ru 2.46
17 Ru 0.4233 0.4233 0.4233  6 Si 2.38-2.46
18 Ru 0.5767 0.5767 0.5767  6 Si 2.38-2.46
19 Rh 0.0000 0.0000 0.0000  6 Si 2.43
20 Rh 0.5000 0.5000 0.5000  6 Si 2.45

Calculated values
Formation energy without anion corrections = -0.4517 eV/atom
Space group = R-3m

---

2.
Entry from Alexandria via LeMat-Bulk: a geometry-optimized USbPd2 structure (GGA-PBE).

a b c (Å): 6.8521 6.8521 6.8521
angles (deg): 90.00 90.00 90.00
Closest atoms and distances in Å follow each position.
Element x y z (fractional)
1 U 0.0000 0.0000 0.0000  8 Pd 2.97
2 U 0.0000 0.5000 0.5000  8 Pd 2.97
3 U 0.5000 0.0000 0.5000  8 Pd 2.97
4 U 0.5000 0.5000 0.0000  8 Pd 2.97
5 Sb 0.0000 0.0000 0.5000  8 Pd 2.97
6 Sb 0.0000 0.5000 0.0000  8 Pd 2.97
7 Sb 0.5000 0.0000 0.0000  8 Pd 2.97
8 Sb 0.5000 0.5000 0.5000  8 Pd 2.97
9 Pd 0.2500 0.2500 0.2500  4 Sb 2.97, 4 U 2.97
10 Pd 0.2500 0.2500 0.7500  4 Sb 2.97, 4 U 2.97
11 Pd 0.2500 0.7500 0.2500  4 U 2.97, 4 Sb 2.97
12 Pd 0.2500 0.7500 0.7500  4 Sb 2.97, 4 U 2.97
13 Pd 0.7500 0.2500 0.2500  4 U 2.97, 4 Sb 2.97
14 Pd 0.7500 0.2500 0.7500  4 Sb 2.97, 4 U 2.97
15 Pd 0.7500 0.7500 0.2500  4 Sb 2.97, 4 U 2.97
16 Pd 0.7500 0.7500 0.7500  4 U 2.97, 4 Sb 2.97

Calculated values
Formation energy without anion corrections = -0.4221 eV/atom
Space group = Fm-3m

---

3.
Entry from Alexandria via LeMat-Bulk: a geometry-optimized Ta4RuPb structure (GGA-PBE).

a b c (Å): 5.4636 5.4636 5.4636
angles (deg): 60.00 60.00 60.00
Closest atoms and distances in Å follow each position.
Element x y z (fractional)
1 Ta 0.1246 0.1246 0.1246  6 Ta 2.72-2.74
2 Ta 0.1246 0.1246 0.6263  6 Ta 2.72-2.74
3 Ta 0.1246 0.6263 0.1246  6 Ta 2.72-2.74
4 Ta 0.6263 0.1246 0.1246  6 Ta 2.72-2.74
5 Ru 0.5000 0.5000 0.5000  12 Ta 3.20, 4 Pb 3.35
6 Pb 0.7500 0.7500 0.7500  12 Ta 3.20, 4 Ru 3.35

Calculated values
Calculated formation energy = 285 kJ/mol of formula units
Space group = F-43m

---

4.
Entry from Alexandria via LeMat-Bulk: a geometry-optimized TbTm2Pd structure (GGA-PBE).

a b c (Å): 3.7223 9.1830 6.4271
angles (deg): 90.00 106.78 90.00
Closest atoms and distances in Å follow each position.
Element x y z (fractional)
1 Tb 0.0592 0.2500 0.1194  2 Pd 3.09
2 Tb 0.9408 0.7500 0.8806  2 Pd 3.09
3 Tm 0.3646 0.0597 0.7283  2 Pd 2.86
4 Tm 0.3646 0.4403 0.7283  2 Pd 2.86
5 Tm 0.6354 0.5597 0.2717  2 Pd 2.86
6 Tm 0.6354 0.9403 0.2717  2 Pd 2.86
7 Pd 0.2394 0.7500 0.4799  4 Tm 2.86, 2 Tb 3.09
8 Pd 0.7606 0.2500 0.5201  4 Tm 2.86, 2 Tb 3.09

Calculated values
Calculated formation energy = -181 kJ/mol of formula units
Space group = P2_1/m

---

5.
Entry from Alexandria via LeMat-Bulk: a geometry-optimized BeReTc2 structure (GGA-PBE).

a b c (Å): 2.7508 2.7508 24.8413
angles (deg): 90.00 90.00 120.00
Closest atoms and distances in Å follow each position.
Element x y z (fractional)
1 Be 0.0000 0.0000 0.0000  6 Tc 2.50, 6 Be 2.75
2 Be 0.3333 0.6667 0.6667  6 Tc 2.50, 6 Be 2.75
3 Be 0.6667 0.3333 0.3333  6 Tc 2.50, 6 Be 2.75
4 Re 0.0000 0.0000 0.5000  6 Tc 2.72, 6 Re 2.75
5 Re 0.3333 0.6667 0.1667  6 Tc 2.72, 6 Re 2.75
6 Re 0.6667 0.3333 0.8333  6 Tc 2.72, 6 Re 2.75
7 Tc 0.0000 0.0000 0.2556  3 Be 2.50, 3 Re 2.72, 6 Tc 2.75
8 Tc 0.0000 0.0000 0.7444  3 Be 2.50, 3 Re 2.72, 6 Tc 2.75
9 Tc 0.3333 0.6667 0.4111  3 Be 2.50, 3 Re 2.72, 6 Tc 2.75
10 Tc 0.3333 0.6667 0.9223  3 Be 2.50, 3 Re 2.72, 6 Tc 2.75
11 Tc 0.6667 0.3333 0.0777  3 Be 2.50, 3 Re 2.72, 6 Tc 2.75
12 Tc 0.6667 0.3333 0.5889  3 Be 2.50, 3 Re 2.72, 6 Tc 2.75

Calculated values
Calculated formation energy = 35 kJ/mol of formula units
Space group = R-3m

---

6.
Entry from Alexandria via LeMat-Bulk: a geometry-optimized AcRh2Pb3 structure (GGA-PBE).

a b c (Å): 9.4859 9.4859 11.5782
angles (deg): 111.72 111.72 28.31
Closest atoms and distances in Å follow each position.
Element x y z (fractional)
1 Ac 0.0000 0.0000 0.0000  6 Rh 3.40-3.43, 6 Pb 3.43-3.70
2 Ac 0.1672 0.1672 0.6990  4 Rh 3.39-3.63, 6 Pb 3.50-3.72
3 Ac 0.8328 0.8328 0.3010  4 Rh 3.39-3.63, 6 Pb 3.50-3.72
4 Rh 0.1996 0.1996 0.1336  6 Pb 2.83-3.02
5 Rh 0.3690 0.3690 0.5582  7 Pb 2.74-2.96
6 Rh 0.4783 0.4783 0.2026  4 Pb 2.74-2.77
7 Rh 0.5217 0.5217 0.7974  4 Pb 2.74-2.77
8 Rh 0.6310 0.6310 0.4418  7 Pb 2.74-2.96
9 Rh 0.8004 0.8004 0.8664  6 Pb 2.83-3.02
10 Pb 0.0305 0.0305 0.3353  4 Rh 2.75-2.93
11 Pb 0.2150 0.2150 0.3924  4 Rh 2.75-2.96
12 Pb 0.3229 0.3229 0.0444  4 Rh 2.74-3.02
13 Pb 0.3736 0.3736 0.8076  4 Rh 2.77-2.89
14 Pb 0.5000 0.5000 0.5000  2 Rh 2.74
15 Pb 0.6264 0.6264 0.1924  4 Rh 2.77-2.89
16 Pb 0.6771 0.6771 0.9556  4 Rh 2.74-3.02
17 Pb 0.7850 0.7850 0.6076  4 Rh 2.75-2.96
18 Pb 0.9695 0.9695 0.6647  4 Rh 2.75-2.93

Calculated values
Calculated formation energy = -160 kJ/mol of formula units
Space group = C2/m

---

7.
Entry from Alexandria via LeMat-Bulk: a geometry-optimized BePRh2 structure (GGA-PBE).

a b c (Å): 3.2618 3.6022 4.4407
angles (deg): 90.00 111.54 90.00
Closest atoms and distances in Å follow each position.
Element x y z (fractional)
1 Be 0.0000 0.0000 0.0000  2 P 2.25, 7 Rh 2.28-2.48
2 P 0.1656 0.5000 0.3267  2 Be 2.25, 7 Rh 2.31-2.49
3 Rh 0.4449 0.5000 0.8865  3 P 2.31-2.44, 4 Be 2.47-2.48
4 Rh 0.7224 0.0000 0.4476  3 Be 2.28-2.47, 4 P 2.47-2.49

Calculated values
Calculated formation energy = -218 kJ/mol of formula units
Space group = Pm

---

8.
Entry from Alexandria via LeMat-Bulk: a geometry-optimized Ac4SbPS2 structure (GGA-PBE).

a b c (Å): 7.6751 4.4887 7.8204
angles (deg): 90.00 109.68 90.00
Closest atoms and distances in Å follow each position.
Element x y z (fractional)
1 Ac 0.2393 0.0000 0.2329  3 S 3.08-3.21, 1 P 3.13, 2 Sb 3.25
2 Ac 0.2487 0.5000 0.7617  3 S 3.08-3.20, 2 P 3.13, 1 Sb 3.25
3 Ac 0.7513 0.5000 0.2383  3 S 3.08-3.20, 2 P 3.13, 1 Sb 3.25
4 Ac 0.7607 0.0000 0.7671  3 S 3.08-3.21, 1 P 3.13, 2 Sb 3.25
5 Sb 0.5000 0.5000 0.5000  6 Ac 3.25
6 P 0.5000 0.0000 0.0000  6 Ac 3.13
7 S 0.0000 0.0000 0.5000  6 Ac 3.20-3.21
8 S 0.0000 0.5000 0.0000  6 Ac 3.08

Calculated values
Formation energy without anion corrections = -1.6686 eV/atom
Space group = P2/m

---

9.
Entry from Alexandria via LeMat-Bulk: a geometry-optimized DyEr5Th3 structure (GGA-PBE).

a b c (Å): 7.4563 7.4563 12.2830
angles (deg): 95.27 95.27 66.56
Closest atoms and distances in Å follow each position.
Element x y z (fractional)
1 Dy 0.1398 0.1398 0.2669  6 Er 3.48-3.87, 3 Th 3.51-3.58
2 Dy 0.8602 0.8602 0.7331  6 Er 3.48-3.87, 3 Th 3.51-3.58
3 Er 0.0618 0.6722 0.2241  3 Er 3.19-3.54, 1 Th 3.43
4 Er 0.2569 0.2569 0.0226  2 Th 3.18-3.44, 2 Er 3.38, 1 Dy 3.48
5 Er 0.3278 0.9382 0.7759  3 Er 3.19-3.54, 1 Th 3.43
6 Er 0.3287 0.6713 0.0000  1 Th 2.69, 1 Er 2.80
7 Er 0.4427 0.4427 0.3789  3 Er 3.15-3.22, 2 Th 3.16-3.22
8 Er 0.5573 0.5573 0.6211  3 Er 3.15-3.22, 2 Th 3.16-3.22
9 Er 0.6713 0.3287 0.0000  1 Th 2.69, 1 Er 2.80
10 Er 0.6722 0.0618 0.2241  3 Er 3.19-3.54, 1 Th 3.43
11 Er 0.7431 0.7431 0.9774  2 Th 3.18-3.44, 2 Er 3.38, 1 Dy 3.48
12 Er 0.9382 0.3278 0.7759  3 Er 3.19-3.54, 1 Th 3.43
13 Th 0.0000 0.0000 0.0000  2 Er 2.69
14 Th 0.0000 0.0000 0.5000  2 Th 3.23, 2 Dy 3.51
15 Th 0.2605 0.2605 0.5456  2 Th 3.12-3.23, 1 Er 3.22
16 Th 0.3775 0.3775 0.7838  1 Th 3.12, 6 Er 3.16-3.44
17 Th 0.6225 0.6225 0.2162  1 Th 3.12, 6 Er 3.16-3.44
18 Th 0.7395 0.7395 0.4544  2 Th 3.12-3.23, 1 Er 3.22

Calculated values
Calculated formation energy = 485 kJ/mol of formula units
Space group = C2/m

---

10.
Entry from Alexandria via LeMat-Bulk: a geometry-optimized GdUOs2 structure (GGA-PBE).

a b c (Å): 3.4362 3.4362 6.8368
angles (deg): 90.00 90.00 90.00
Closest atoms and distances in Å follow each position.
Element x y z (fractional)
1 Gd 0.0000 0.0000 0.0000  8 Os 3.11, 2 U 3.42, 4 Gd 3.44
2 U 0.0000 0.0000 0.5000  8 Os 2.84
3 Os 0.5000 0.5000 0.2848  4 U 2.84, 1 Os 2.94, 4 Gd 3.11
4 Os 0.5000 0.5000 0.7152  4 U 2.84, 1 Os 2.94, 4 Gd 3.11

Calculated values
Calculated formation energy = -43 kJ/mol of formula units
Space group = P4/mmm